[1]
Here is a relaxed Nd2HoGa2 crystal from OQMD. Energies are from PBE.

a = 7.744 Å, b = 7.744 Å, c = 4.522 Å
α = 90.00°, β = 90.00°, γ = 90.00°
Atoms (fractional coordinates):
Nd: 0.175 0.325 0.000
Nd: 0.325 0.825 0.000
Nd: 0.675 0.175 0.000
Nd: 0.825 0.675 0.000
Ho: 0.000 0.000 0.500
Ho: 0.500 0.500 0.500
Ga: 0.119 0.619 0.500
Ga: 0.381 0.119 0.500
Ga: 0.619 0.881 0.500
Ga: 0.881 0.381 0.500

* final energy: -22.712 eV per formula unit
* calculated volume: 271 Å³ per cell
* SG: P4/mbm (127)
* magnetic moment: 0.011 μB/cell
* density: 7.26 g cm⁻³

[2]
Here is a relaxed NdHoGa2Ni4 crystal from OQMD. Energies are from PBE.

a = 4.166 Å, b = 4.166 Å, c = 9.054 Å
α = 90.00°, β = 90.00°, γ = 120.00°
Atoms (fractional coordinates):
Nd: 0.000 0.000 0.000
Ho: 0.333 0.667 0.500
Ga: 0.667 0.333 0.260
Ga: 0.667 0.333 0.740
Ni: 0.000 0.000 0.319
Ni: 0.000 0.000 0.681
Ni: 0.333 0.667 0.200
Ni: 0.333 0.667 0.800

* final energy: -42.010 eV per formula unit
* calculated volume: 136 Å³ per cell
* SG: P-6m2 (187)
* magnetic moment: 0.006 μB/cell
* density: 8.34 g cm⁻³

[3]
Here is a relaxed NdHoGa2Pd4 crystal from OQMD. Energies are from PBE.

a = 4.427 Å, b = 4.427 Å, c = 9.162 Å
α = 90.00°, β = 90.00°, γ = 120.00°
Atoms (fractional coordinates):
Nd: 0.000 0.000 0.000
Ho: 0.333 0.667 0.500
Ga: 0.667 0.333 0.255
Ga: 0.667 0.333 0.745
Pd: 0.000 0.000 0.336
Pd: 0.000 0.000 0.664
Pd: 0.333 0.667 0.180
Pd: 0.333 0.667 0.820

* final energy: -43.049 eV per formula unit
* calculated volume: 155 Å³ per cell
* SG: P-6m2 (187)
* magnetic moment: 0.001 μB/cell
* density: 9.34 g cm⁻³